Entry 1:
The following is a PBE calculation of crystalline Ba12Li5Cd3 at its relaxed geometry, from the Alexandria database.

## Properties
ΔE_f = 0.2155 eV per atom
Symmetry = Ia-3d, No. 230

The structure in extended XYZ format:
```
80
Lattice="-10.198 10.198 10.198 10.198 -10.198 10.198 10.198 10.198 -10.198" Properties=species:S:1:pos:R:3 pbc="T T T"
Ba 3.059 -0.451 1.509
Ba 12.238 6.608 -5.550
Ba 9.746 -1.509 3.059
Ba 15.748 -2.040 3.590
Ba 13.257 0.451 1.509
Ba 12.238 -3.590 5.550
Ba 1.509 3.059 -0.451
Ba 13.787 4.648 -2.040
Ba 6.608 5.550 -2.040
Ba 8.689 3.059 0.451
Ba -0.451 1.509 3.059
Ba 5.550 -2.040 6.608
Ba 9.746 8.689 -3.059
Ba 5.550 2.040 3.590
Ba 8.689 -3.059 9.746
Ba 6.608 -5.550 12.238
Ba 3.590 5.550 2.040
Ba 11.707 7.139 0.451
Ba 3.059 9.746 -1.509
Ba 12.238 3.590 4.648
Ba 5.550 12.238 -3.590
Ba 9.746 1.509 7.139
Ba 2.040 3.590 5.550
Ba 3.059 0.451 8.689
Ba 7.139 9.746 1.509
Ba 8.158 6.608 4.648
Ba 0.451 8.689 3.059
Ba 4.648 -2.040 13.787
Ba -2.040 6.608 5.550
Ba 7.139 0.451 11.707
Ba -1.509 3.059 9.746
Ba 6.608 4.648 8.158
Ba 3.590 15.748 -2.040
Ba 1.509 13.257 0.451
Ba 4.648 8.158 6.608
Ba 0.451 1.509 13.257
Ba 4.648 12.238 3.590
Ba 10.649 8.689 7.139
Ba 1.509 7.139 9.746
Ba 3.590 4.648 12.238
Ba -3.590 5.550 12.238
Ba 8.689 7.139 10.649
Ba -2.040 13.787 4.648
Ba -3.059 9.746 8.689
Ba -5.550 12.238 6.608
Ba 0.451 11.707 7.139
Ba -2.040 3.590 15.748
Ba 7.139 10.649 8.689
Li 0.000 0.000 0.000
Li 5.099 5.099 -5.099
Li 5.099 -5.099 5.099
Li 10.198 0.000 0.000
Li 15.296 2.549 0.000
Li 10.198 -5.099 7.648
Li 7.648 10.198 -5.099
Li 7.648 0.000 5.099
Li 5.099 7.648 0.000
Li 10.198 5.099 2.549
Li -5.099 5.099 5.099
Li 0.000 10.198 0.000
Li 0.000 0.000 10.198
Li 5.099 5.099 5.099
Li 0.000 5.099 7.648
Li 5.099 2.549 10.198
Li 2.549 10.198 5.099
Li 2.549 0.000 15.296
Li 0.000 15.296 2.549
Li -5.099 7.648 10.198
Cd 5.099 2.549 0.000
Cd 10.198 5.099 -2.549
Cd 2.549 0.000 5.099
Cd 12.747 0.000 5.099
Cd 0.000 5.099 2.549
Cd 5.099 -2.549 10.198
Cd 5.099 12.747 0.000
Cd 10.198 5.099 7.648
Cd -2.549 10.198 5.099
Cd 7.648 10.198 5.099
Cd 0.000 5.099 12.747
Cd 5.099 7.648 10.198
```

---

Entry 2:
The following is a PBE calculation of crystalline SiRu2Se at its relaxed geometry, from the Alexandria database.

## Properties
Uncorrected formation energy = -63.1 meV per atom
Symmetry = C2/m, No. 12

The structure in extended XYZ format:
```
4
Lattice="3.954 -1.471 0.000 3.954 1.471 0.000 -1.176 0.000 4.974" Properties=species:S:1:pos:R:3 pbc="T T T"
Si 0.000 0.000 0.000
Ru 1.154 0.000 3.798
Ru 5.577 0.000 1.176
Se 3.365 0.000 2.487
```

---

Entry 3:
The following is a PBE calculation of crystalline Tb7Sm2Dy3 at its relaxed geometry, from the Alexandria database.

## Properties
ΔE_f = 0.0853 eV per atom
Symmetry = P2/m, No. 10

The structure in extended XYZ format:
```
12
Lattice="5.799 0.000 0.000 0.000 3.586 0.000 -1.157 0.000 18.712" Properties=species:S:1:pos:R:3 pbc="T T T"
Tb 0.000 0.000 0.000
Tb 0.859 1.793 3.305
Tb 0.874 1.793 10.052
Tb 0.857 0.000 16.041
Tb 3.785 0.000 2.671
Tb 3.769 1.793 8.659
Tb 3.783 1.793 15.407
Sm 0.884 1.793 13.198
Sm 3.758 1.793 5.514
Dy 0.850 0.000 6.900
Dy 2.900 1.793 0.000
Dy 3.793 0.000 11.812
```